Density functional theory data (PBE-GGA) for a relaxed MnCdMo crystal.

Cell: 2.7597 5.3343 7.1395 Å, 111.43 90.45 97.53°
Atoms (fractional coordinates):
Mn1 0.2483 0.1794 0.4859
Mn2 0.7517 0.8206 0.5141
Cd1 0.4316 0.1800 0.8758
Cd2 0.5684 0.8200 0.1242
Mo1 0.0119 0.5842 0.7140
Mo2 0.9881 0.4158 0.2860

- Formation energy from the elements: 361 meV per atom
- Symmetry: P-1

***

Density functional theory data (PBE-GGA) for a relaxed MnCdMo crystal.

Cell: 4.8604 4.8604 7.8595 Å, 113.74 113.74 34.89°
Atoms (fractional coordinates):
Mn1 0.1621 0.1621 0.0567
Mn2 0.8379 0.8379 0.9433
Cd1 0.1662 0.1662 0.5972
Cd2 0.8338 0.8338 0.4028
Mo1 0.4869 0.4869 0.1891
Mo2 0.5131 0.5131 0.8109

- Formation energy from the elements: 336 meV per atom
- Symmetry: C2/m

***

Density functional theory data (PBE-GGA) for a relaxed MnCdMo crystal.

Cell: 4.5124 4.5124 2.7336 Å, 90.00 90.00 120.00°
Atoms (fractional coordinates):
Mn1 0.0000 0.0000 0.0000
Cd1 0.3333 0.6667 0.6737
Mo1 0.6667 0.3333 0.2346

- Formation energy from the elements: 423 meV per atom
- Symmetry: P3m1

***

Density functional theory data (PBE-GGA) for a relaxed MnCd2Mo crystal.

Cell: 4.5517 4.5517 4.5517 Å, 60.00 60.00 60.00°
Atoms (fractional coordinates):
Mn1 0.0000 0.0000 0.0000
Cd1 0.2500 0.2500 0.2500
Cd2 0.7500 0.7500 0.7500
Mo1 0.5000 0.5000 0.5000

- Formation energy from the elements: 896 meV per atom
- Symmetry: Fm-3m

***

Density functional theory data (PBE-GGA) for a relaxed MnCd2Mo crystal.

Cell: 9.8540 9.8540 9.8540 Å, 17.04 17.04 17.04°
Atoms (fractional coordinates):
Mn1 0.0000 0.0000 0.0000
Cd1 0.2514 0.2514 0.2514
Cd2 0.7486 0.7486 0.7486
Mo1 0.5000 0.5000 0.5000

- Formation energy from the elements: 477 meV per atom
- Symmetry: R-3m

***

Density functional theory data (PBE-GGA) for a relaxed MnCd2Mo crystal.

Cell: 4.8455 4.8455 4.8455 Å, 126.90 126.90 78.41°
Atoms (fractional coordinates):
Mn1 0.0000 0.0000 0.0000
Cd1 0.5000 0.5000 0.0000
Cd2 0.7500 0.2500 0.5000
Mo1 0.2500 0.7500 0.5000

- Formation energy from the elements: 482 meV per atom
- Symmetry: I-4m2

***

Density functional theory data (PBE-GGA) for a relaxed MnCdMo3 crystal.

Cell: 4.5057 4.5057 4.5057 Å, 90.00 90.00 90.00°
Atoms (fractional coordinates):
Mn1 0.0000 0.0000 0.0000
Cd1 0.5000 0.5000 0.5000
Mo1 0.0000 0.0000 0.5000
Mo2 0.0000 0.5000 0.0000
Mo3 0.5000 0.0000 0.0000

- Formation energy from the elements: 1042 meV per atom
- Symmetry: Pm-3m

***

Density functional theory data (PBE-GGA) for a relaxed MnCdMo crystal.

Cell: 4.2762 4.2762 4.2762 Å, 60.00 60.00 60.00°
Atoms (fractional coordinates):
Mn1 0.0000 0.0000 0.0000
Cd1 0.2500 0.2500 0.2500
Mo1 0.7500 0.7500 0.7500

- Formation energy from the elements: 799 meV per atom
- Symmetry: F-43m

***

Density functional theory data (PBE-GGA) for a relaxed MnCd2Mo crystal.

Cell: 4.6407 4.6407 4.6407 Å, 60.00 60.00 60.00°
Atoms (fractional coordinates):
Mn1 0.0000 0.0000 0.0000
Cd1 0.5000 0.5000 0.5000
Cd2 0.7500 0.7500 0.7500
Mo1 0.2500 0.2500 0.2500

- Formation energy from the elements: 484 meV per atom
- Symmetry: F-43m

***

Density functional theory data (PBE-GGA) for a relaxed MnCd2Mo crystal.

Cell: 4.8712 4.8712 5.3912 Å, 97.17 97.17 33.82°
Atoms (fractional coordinates):
Mn1 0.0000 0.0000 0.0000
Cd1 0.5063 0.5063 0.5360
Cd2 0.7506 0.7506 0.2858
Mo1 0.2587 0.2587 0.8131

- Formation energy from the elements: 427 meV per atom
- Symmetry: Cm

***

Density functional theory data (PBE-GGA) for a relaxed MnCd2Mo crystal.

Cell: 4.9420 4.9420 2.9394 Å, 90.00 90.00 90.00°
Atoms (fractional coordinates):
Mn1 0.0000 0.0000 0.0000
Cd1 0.0000 0.5000 0.5000
Cd2 0.5000 0.0000 0.5000
Mo1 0.5000 0.5000 0.0000

- Formation energy from the elements: 553 meV per atom
- Symmetry: P4/mmm

***

Density functional theory data (PBE-GGA) for a relaxed MnCd2Mo crystal.

Cell: 5.2635 5.2635 5.2635 Å, 135.53 135.53 64.71°
Atoms (fractional coordinates):
Mn1 0.0000 0.0000 0.0000
Cd1 0.2500 0.7500 0.5000
Cd2 0.7500 0.2500 0.5000
Mo1 0.5000 0.5000 0.0000

- Formation energy from the elements: 505 meV per atom
- Symmetry: I4/mmm

***

Distance to the lowest polymorph of the same formula (kJ/mol of formula units)
15; 8; 33; 251; 90; 92; 0; 142; 92; 70; 119; 101